DFT (PBE with a Hubbard U) results for MnOF after structural relaxation.

Cell: 9.5859 4.6080 4.6255 Å, 90.00 90.00 90.00°
Fractional positions:
Mn 0.0000 0.2259 0.0000
Mn 0.1672 0.7222 0.5663
Mn 0.3328 0.2778 0.0663
Mn 0.5000 0.7741 0.5000
Mn 0.6672 0.2778 0.0663
Mn 0.8328 0.7222 0.5663
O 0.0000 0.9087 0.7395
O 0.1710 0.4274 0.8613
O 0.3290 0.5726 0.3613
O 0.5000 0.0913 0.2395
O 0.6710 0.5726 0.3613
O 0.8290 0.4274 0.8613
F 0.0000 0.5014 0.3299
F 0.1597 0.0232 0.2563
F 0.3403 0.9768 0.7563
F 0.5000 0.4986 0.8299
F 0.6597 0.9768 0.7563
F 0.8403 0.0232 0.2563

Results
Final energy (eV per formula unit): -20.20
Volume (A^3/atom): 11.35
Calculated density (g/cm³): 4.39
Total moment (μB per formula unit): 4.0
Space-group type: No. 31